Density functional theory data (PBE-GGA) for crystalline Cs2KEuCl6 at its relaxed geometry.

Cell: 11.4621 11.4621 11.4621 Å, 90.00 90.00 90.00°
Last column: nearest neighbours and their distance in Å.
Space group Fm-3m (No. 225)
Inequivalent atoms, fractional coordinates:
Cs  0.2500  0.2500  0.2500 [8 per cell]  12 Cl 4.06
K  0.0000  0.0000  0.0000 [4 per cell]  6 Cl 3.02
Eu  0.0000  0.0000  0.5000 [4 per cell]  6 Cl 2.71
Cl  0.0000  0.0000  0.2635 [24 per cell]  1 Eu 2.71, 1 K 3.02

Values from the calculation:
Uncorrected formation energy   -1.965 eV/atom

Density functional theory data (PBE-GGA) for crystalline Rb2MgTaF6 at its relaxed geometry.

Cell: 8.5316 8.5316 8.5316 Å, 90.00 90.00 90.00°
Last column: nearest neighbours and their distance in Å.
Space group Fm-3m (No. 225)
Inequivalent atoms, fractional coordinates:
Rb  0.2500  0.2500  0.2500 [8 per cell]  12 F 3.02
Mg  0.0000  0.0000  0.0000 [4 per cell]  6 F 2.03
Ta  0.0000  0.0000  0.5000 [4 per cell]  6 F 2.24
F  0.0000  0.0000  0.2379 [24 per cell]  1 Mg 2.03, 1 Ta 2.24

Values from the calculation:
Uncorrected formation energy   -2.606 eV/atom

Density functional theory data (PBE-GGA) for crystalline SiF3 at its relaxed geometry.

Cell: 3.4034 3.4034 20.6047 Å, 90.00 90.00 120.00°
Last column: nearest neighbours and their distance in Å.
Space group R-3m (No. 166, hexagonal axes)
Inequivalent atoms, fractional coordinates:
Si  0.0000  0.0000  0.0000 [3 per cell]  6 F 2.12
F  0.0000  0.0000  0.3723 [6 per cell]  3 Si 2.12
F  0.0000  0.0000  0.5000 [3 per cell]  2 F 2.63

Values from the calculation:
Uncorrected formation energy   -1.031 eV/atom

Density functional theory data (PBE-GGA) for crystalline GdTm2Mn at its relaxed geometry.

Cell: 3.4290 3.4290 8.9328 Å, 90.00 90.00 90.00°
Last column: nearest neighbours and their distance in Å.
Space group P4/mmm (No. 123)
Inequivalent atoms, fractional coordinates:
Gd  0.0000  0.0000  0.0000 [1 per cell]  4 Gd 3.43, 8 Tm 3.67
Tm  0.5000  0.5000  0.3082 [2 per cell]  4 Mn 2.97
Mn  0.0000  0.0000  0.5000 [1 per cell]  8 Tm 2.97

Values from the calculation:
Energy above the lowest structure with this stoichiometry   0 meV/atom
Energy of formation from the pure elements   0.12 eV/atom

Density functional theory data (PBE-GGA) for crystalline Sc3Au2 at its relaxed geometry.

Cell: 7.7858 7.7858 3.4901 Å, 90.00 90.00 90.00°
Last column: nearest neighbours and their distance in Å.
Space group P4/mbm (No. 127)
Inequivalent atoms, fractional coordinates:
Sc  0.0000  0.0000  0.0000 [2 per cell]  4 Au 3.02
Sc  0.1624  0.3376  0.5000 [4 per cell]  6 Au 2.82-2.92
Au  0.1364  0.6364  0.0000 [4 per cell]  8 Sc 2.82-3.02, 1 Au 3.00

Values from the calculation:
Energy above the lowest structure with this stoichiometry   0 meV/atom
Energy of formation from the pure elements   -0.66 eV/atom

Density functional theory data (PBE-GGA) for crystalline TbPu2ZrP4 at its relaxed geometry.

Cell: 6.7848 3.9337 6.8134 Å, 90.00 109.51 90.00°
Last column: nearest neighbours and their distance in Å.
Space group P2/m (No. 10)
Inequivalent atoms, fractional coordinates:
Tb  0.0000  0.0000  0.0000 [1 per cell]  6 P 2.79-2.80
Pu  0.5000  0.0000  0.5000 [1 per cell]  6 P 2.76
Pu  0.5000  0.5000  0.0000 [1 per cell]  6 P 2.83-2.84
Zr  0.0000  0.5000  0.5000 [1 per cell]  6 P 2.71-2.73
P  0.2424  0.0000  0.7401 [2 per cell]  2 Zr 2.73, 3 Pu 2.76-2.83, 1 Tb 2.79
P  0.2479  0.5000  0.2601 [2 per cell]  1 Zr 2.71, 3 Pu 2.76-2.84, 2 Tb 2.80

Values from the calculation:
Energy of formation from the pure elements   -1.33 eV/atom

Density functional theory data (PBE-GGA) for crystalline Ac4AgHg3 at its relaxed geometry.

Cell: 8.0517 8.0643 16.0480 Å, 90.00 90.00 90.00°
Last column: nearest neighbours and their distance in Å.
Space group Fmmm (No. 69)
Inequivalent atoms, fractional coordinates:
Ac  0.2500  0.2500  0.1236 [16 per cell]  6 Hg 3.47-3.51, 2 Ag 3.47
Ag  0.0000  0.0000  0.0000 [4 per cell]  8 Ac 3.47
Hg  0.0000  0.0000  0.2510 [8 per cell]  8 Ac 3.49-3.51
Hg  0.0000  0.0000  0.5000 [4 per cell]  8 Ac 3.47

Values from the calculation:
Energy above the lowest structure with this stoichiometry   0 meV/atom
Energy of formation from the pure elements   -0.43 eV/atom

Density functional theory data (PBE-GGA) for crystalline Tb4Pr5Tl4 at its relaxed geometry.

Cell: 12.7464 12.7464 5.1027 Å, 90.00 90.00 90.00°
Last column: nearest neighbours and their distance in Å.
Space group I4/m (No. 87)
Inequivalent atoms, fractional coordinates:
Tb  0.0928  0.3978  0.0000 [8 per cell]  3 Tl 3.15-3.34, 1 Tb 3.52
Pr  0.0000  0.0000  0.0000 [2 per cell]  4 Tl 3.27
Pr  0.1052  0.1943  0.5000 [8 per cell]  5 Tl 3.31-3.66, 2 Tb 3.64
Tl  0.0963  0.7618  0.0000 [8 per cell]  3 Tb 3.15-3.34, 4 Pr 3.27-3.33

Values from the calculation:
Energy of formation from the pure elements   -0.25 eV/atom

Density functional theory data (PBE-GGA) for crystalline Nd2Ho3Er9 at its relaxed geometry.

Cell: 6.3578 8.3723 8.8570 Å, 87.19 83.03 70.85°
Last column: nearest neighbours and their distance in Å.
Space group P1 (No. 1)
Inequivalent atoms, fractional coordinates:
Nd  0.0000  0.0000  0.0000 [1 per cell]  3 Ho 3.22-3.44, 4 Er 3.23-3.56, 1 Nd 3.30
Nd  0.1552  0.6432  0.1968 [1 per cell]  1 Nd 3.30, 5 Er 3.35-3.50, 2 Ho 3.44-3.57
Ho  0.3467  0.0978  0.7465 [1 per cell]  8 Er 3.21-3.56, 1 Nd 3.22, 1 Ho 3.58
Ho  0.5480  0.8578  0.0752 [1 per cell]  6 Er 3.43-3.72, 3 Nd 3.43-3.57, 2 Ho 3.54-3.58
Ho  0.6789  0.6142  0.4093 [1 per cell]  7 Er 3.24-3.62, 1 Nd 3.44, 1 Ho 3.54
Er  0.0625  0.2642  0.2486 [1 per cell]  5 Er 3.28-3.62, 2 Nd 3.34-3.41, 1 Ho 3.38
Er  0.1976  0.9121  0.4495 [1 per cell]  5 Er 3.21-3.54, 2 Ho 3.24-3.49, 1 Nd 3.35
Er  0.2271  0.4474  0.5344 [1 per cell]  3 Ho 3.32-3.62, 1 Nd 3.35, 6 Er 3.39-3.62
Er  0.3950  0.6619  0.7840 [1 per cell]  8 Er 3.39-3.70, 3 Ho 3.52-3.56, 1 Nd 3.56
Er  0.5221  0.2979  0.0275 [1 per cell]  2 Nd 3.23-3.35, 5 Er 3.40-3.57, 1 Ho 3.54
Er  0.6385  0.0689  0.3701 [1 per cell]  3 Ho 3.43-3.73, 8 Er 3.44-3.75, 1 Nd 3.72
Er  0.8016  0.2553  0.6528 [1 per cell]  9 Er 3.42-3.77, 3 Ho 3.47-3.55, 1 Nd 3.76
Er  0.8368  0.8225  0.6949 [1 per cell]  2 Ho 3.21-3.56, 7 Er 3.21-3.57, 1 Nd 3.56
Er  0.9576  0.4719  0.9123 [1 per cell]  8 Er 3.35-3.70, 1 Nd 3.50, 2 Ho 3.55-3.65

Values from the calculation:
Energy of formation from the pure elements   0.08 eV/atom

Density functional theory data (PBE-GGA) for crystalline BaAlPb4 at its relaxed geometry.

Cell: 9.3147 9.3147 9.3147 Å, 90.00 90.00 90.00°
Last column: nearest neighbours and their distance in Å.
Space group F-43m (No. 216)
Inequivalent atoms, fractional coordinates:
Ba  0.0000  0.0000  0.0000 [4 per cell]  12 Pb 3.86, 4 Al 4.03
Al  0.2500  0.2500  0.2500 [4 per cell]  12 Pb 3.86, 4 Ba 4.03
Pb  0.1259  0.1259  0.6259 [16 per cell]  6 Pb 3.27-3.32

Values from the calculation:
Energy of formation from the pure elements   -0.03 eV/atom

Density functional theory data (PBE-GGA) for crystalline Th2CdFe at its relaxed geometry.

Cell: 3.3771 3.3771 8.6167 Å, 90.00 90.00 90.00°
Last column: nearest neighbours and their distance in Å.
Space group P4/mmm (No. 123)
Inequivalent atoms, fractional coordinates:
Th  0.0000  0.0000  0.2028 [2 per cell]  4 Fe 2.96
Cd  0.5000  0.5000  0.5000 [1 per cell]  4 Cd 3.38, 8 Th 3.50
Fe  0.5000  0.5000  0.0000 [1 per cell]  8 Th 2.96

Values from the calculation:
Energy above the lowest structure with this stoichiometry   93 meV/atom
Energy of formation from the pure elements   -0.02 eV/atom

Density functional theory data (PBE-GGA) for crystalline PmHoH at its relaxed geometry.

Cell: 12.6463 3.6623 5.6530 Å, 90.00 90.00 90.00°
Last column: nearest neighbours and their distance in Å.
Space group Pnma (No. 62)
Inequivalent atoms, fractional coordinates:
Pm  0.2094  0.2500  0.2399 [4 per cell]  3 H 2.56-2.61
Ho  0.0406  0.2500  0.7427 [4 per cell]  3 H 2.44-2.49
H  0.1188  0.7500  0.4998 [4 per cell]  3 Ho 2.44-2.49, 3 Pm 2.56-2.61

Values from the calculation:
Energy above the lowest structure with this stoichiometry   4 meV/atom

Density functional theory data (PBE-GGA) for crystalline KNpPb2I8 at its relaxed geometry.

Cell: 7.4607 9.7213 7.8348 Å, 90.00 90.82 90.00°
Last column: nearest neighbours and their distance in Å.
Space group P2/m (No. 10)
Inequivalent atoms, fractional coordinates:
K  0.0000  0.0000  0.0000 [1 per cell]  6 I 3.48-3.50
Np  0.0000  0.5000  0.0000 [1 per cell]  6 I 3.11-3.15
Pb  0.5000  0.2483  0.5000 [2 per cell]  6 I 3.18-3.41
I  0.2406  0.5000  0.6722 [2 per cell]  1 Np 3.15, 2 Pb 3.41
I  0.2517  0.2759  0.1528 [4 per cell]  1 Np 3.11, 1 Pb 3.28, 1 K 3.48
I  0.2642  0.0000  0.6344 [2 per cell]  2 Pb 3.18, 1 K 3.50

Values from the calculation:
Uncorrected formation energy   -0.823 eV/atom

Density functional theory data (PBE-GGA) for crystalline Sc2PtPb at its relaxed geometry.

Cell: 3.7675 3.7675 23.4592 Å, 90.00 90.00 120.00°
Last column: nearest neighbours and their distance in Å.
Space group R3m (No. 160, hexagonal axes)
Inequivalent atoms, fractional coordinates:
Sc  0.0000  0.0000  0.0000 [3 per cell]  3 Pt 2.67
Sc  0.0000  0.0000  0.2040 [3 per cell]  3 Pt 2.64
Pt  0.0000  0.0000  0.6007 [3 per cell]  6 Sc 2.64-2.67
Pb  0.0000  0.0000  0.4351 [3 per cell]  6 Sc 3.23-3.24

Values from the calculation:
Energy of formation from the pure elements   -0.67 eV/atom

Density functional theory data (PBE-GGA) for crystalline LiAg3N at its relaxed geometry.

Cell: 4.4017 4.4017 4.4017 Å, 90.00 90.00 90.00°
Last column: nearest neighbours and their distance in Å.
Space group Pm-3m (No. 221)
Inequivalent atoms, fractional coordinates:
Li  0.0000  0.0000  0.0000 [1 per cell]  12 Ag 3.11
Ag  0.0000  0.5000  0.5000 [3 per cell]  2 N 2.20
N  0.5000  0.5000  0.5000 [1 per cell]  6 Ag 2.20

Values from the calculation:
Uncorrected formation energy   0.428 eV/atom
Energy above the lowest structure with this stoichiometry   0 meV/atom

Density functional theory data (PBE-GGA) for crystalline CeThAl2Zn2 at its relaxed geometry.

Cell: 4.5538 4.5538 7.3314 Å, 90.00 90.00 120.00°
Last column: nearest neighbours and their distance in Å.
Space group P-3m1 (No. 164)
Inequivalent atoms, fractional coordinates:
Ce  0.0000  0.0000  0.0000 [1 per cell]  6 Zn 3.16, 6 Al 3.16
Th  0.0000  0.0000  0.5000 [1 per cell]  6 Al 3.25, 6 Zn 3.25
Al  0.3333  0.6667  0.7598 [2 per cell]  3 Zn 2.63
Zn  0.3333  0.6667  0.2390 [2 per cell]  3 Al 2.63

Values from the calculation:
Energy of formation from the pure elements   -0.35 eV/atom

Density functional theory data (PBE-GGA) for crystalline SiCl at its relaxed geometry.

Cell: 9.3163 9.3163 9.3163 Å, 90.00 90.00 90.00°
Last column: nearest neighbours and their distance in Å.
Space group I-43m (No. 217)
Inequivalent atoms, fractional coordinates:
Si  0.1447  0.1447  0.1447 [8 per cell]  3 Cl 2.50
Cl  0.1214  0.1214  0.8786 [8 per cell]  3 Si 2.50

Values from the calculation:
Uncorrected formation energy   0.652 eV/atom
Energy above the lowest structure with this stoichiometry   1326 meV/atom

Density functional theory data (PBE-GGA) for crystalline SrScB2Pd at its relaxed geometry.

Cell: 4.3311 4.3311 4.9248 Å, 90.00 90.00 90.00°
Last column: nearest neighbours and their distance in Å.
Space group P4/mmm (No. 123)
Inequivalent atoms, fractional coordinates:
Sr  0.0000  0.0000  0.0000 [1 per cell]  4 Sc 3.06, 8 B 3.28
Sc  0.5000  0.5000  0.0000 [1 per cell]  2 Pd 2.46
B  0.0000  0.5000  0.5000 [2 per cell]  2 Pd 2.17
Pd  0.5000  0.5000  0.5000 [1 per cell]  4 B 2.17

Values from the calculation:
Energy of formation from the pure elements   0.70 eV/atom

Density functional theory data (PBE-GGA) for crystalline Zr2Co2Ni at its relaxed geometry.

Cell: 8.8287 4.9895 7.1454 Å, 90.00 105.70 90.00°
Last column: nearest neighbours and their distance in Å.
Space group C2/c (No. 15)
Inequivalent atoms, fractional coordinates:
Zr  0.1495  0.1352  0.1519 [8 per cell]  6 Co 2.68-2.80, 3 Ni 2.77-2.99
Co  0.1310  0.3684  0.4998 [8 per cell]  2 Ni 2.39-2.44, 2 Co 2.41-2.66
Ni  0.0000  0.3110  0.7500 [4 per cell]  4 Co 2.39-2.44

Values from the calculation:
Energy above the lowest structure with this stoichiometry   7 meV/atom
Energy of formation from the pure elements   -0.32 eV/atom

Density functional theory data (PBE-GGA) for crystalline TcSbSeBr2 at its relaxed geometry.

Cell: 5.1032 5.1032 4.8429 Å, 90.00 90.00 90.00°
Last column: nearest neighbours and their distance in Å.
Space group P4/mmm (No. 123)
Inequivalent atoms, fractional coordinates:
Tc  0.0000  0.0000  0.0000 [1 per cell]  2 Se 2.42, 4 Br 2.55
Sb  0.5000  0.5000  0.5000 [1 per cell]  8 Br 3.52, 4 Se 3.61
Se  0.0000  0.0000  0.5000 [1 per cell]  2 Tc 2.42
Br  0.0000  0.5000  0.0000 [2 per cell]  2 Tc 2.55

Values from the calculation:
Uncorrected formation energy   0.377 eV/atom
Energy above the lowest structure with this stoichiometry   0 meV/atom

Density for the records above, in order: 3.0; 5.2; 2.1; 8.7; 8.3; 8.4; 10.3; 8.6; 8.6; 8.2; 10.7; 7.9; 5.0; 8.5; 6.7; 7.0; 1.0; 4.7; 7.9; 6.0 g/cm3
E_tot for the records above, in order: -4.381; -5.267; -3.790; -7.933; -5.769; -9.262; -2.949; -4.241; -4.510; -3.443; -6.076; -4.446; -3.644; -6.272; -3.330; -4.246; -2.983; -4.615; -7.734; -3.887 eV/atom